# 1
The following is a DFT calculation (PBE) of crystalline Zn2InFe2 at its relaxed geometry.

abc: 3.621 3.621 12.004
angles: 90.00 90.00 90.00
Space group I4/mmm (No. 139)
Unique sites:
Zn 0.000 0.500 0.250 [4 per cell]
In 0.000 0.000 0.000 [2 per cell]
Fe 0.000 0.000 0.406 [4 per cell]

Calculated values
- energy of formation (meV per atom) = 297.0
- total magnetic moment (μB per cell) = 8.645
- electronic total energy (eV per atom) = -4.15

***

# 2
The following is a DFT calculation (PBE) of crystalline ThBeSi2Ni at its relaxed geometry.

abc: 4.031 4.031 9.623
angles: 90.00 90.00 90.00
Space group I-4m2 (No. 119)
Unique sites:
Th 0.000 0.000 0.000 [2 per cell]
Be 0.000 0.500 0.250 [2 per cell]
Si 0.000 0.000 0.372 [4 per cell]
Ni 0.000 0.500 0.750 [2 per cell]

Calculated values
- total magnetic moment (μB per cell) = 0.000
- formation energy without anion corrections (eV per atom) = -0.67
- electronic total energy (eV per atom) = -6.23

***

# 3
The following is a DFT calculation (PBE) of crystalline Ba5Li5Au2 at its relaxed geometry.

abc: 18.265 4.749 13.576
angles: 90.00 131.00 90.00
Space group C2/m (No. 12)
Unique sites:
Ba 0.000 0.000 0.000 [2 per cell]
Ba 0.120 0.500 0.826 [4 per cell]
Ba 0.197 0.500 0.577 [4 per cell]
Li 0.000 0.000 0.500 [2 per cell]
Li 0.068 0.000 0.313 [4 per cell]
Li 0.209 0.500 0.169 [4 per cell]
Au 0.110 0.500 0.261 [4 per cell]

Calculated values
- energy of formation (meV per atom) = -229.8
- total magnetic moment (μB per cell) = 0.000
- electronic total energy (eV per atom) = -2.37

***

# 4
The following is a DFT calculation (PBE) of crystalline AlPtBr at its relaxed geometry.

abc: 3.127 3.127 12.357
angles: 90.00 90.00 90.00
Space group I4mm (No. 107)
Unique sites:
Al 0.000 0.000 0.000 [2 per cell]
Pt 0.000 0.000 0.604 [2 per cell]
Br 0.000 0.000 0.346 [2 per cell]

Calculated values
- total magnetic moment (μB per cell) = 0.000
- formation energy without anion corrections (eV per atom) = -0.26
- electronic total energy (eV per atom) = -4.08

***

# 5
The following is a DFT calculation (PBE) of crystalline K2ScPt at its relaxed geometry.

abc: 8.555 4.051 9.595
angles: 90.00 103.97 90.00
Space group Cm (No. 8)
Unique sites:
K 0.000 0.000 0.000 [2 per cell]
K 0.159 0.000 0.582 [2 per cell]
Sc 0.288 0.500 0.291 [2 per cell]
Pt 0.475 0.000 0.291 [2 per cell]

Calculated values
- energy of formation (meV per atom) = -168.1
- total magnetic moment (μB per cell) = 0.000
- electronic total energy (eV per atom) = -3.81

***

# 6
The following is a DFT calculation (PBE) of crystalline BaTbSe at its relaxed geometry.

abc: 14.540 4.191 7.267
angles: 90.00 90.00 90.00
Space group Amm2 (No. 38)
Unique sites:
Ba 0.147 0.000 0.000 [4 per cell]
Tb 0.381 0.000 0.331 [4 per cell]
Se 0.000 0.000 0.333 [2 per cell]
Se 0.500 0.000 0.998 [2 per cell]

Calculated values
- total magnetic moment (μB per cell) = 0.348
- formation energy without anion corrections (eV per atom) = -0.93
- electronic total energy (eV per atom) = -4.28

***

# 7
The following is a DFT calculation (PBE) of crystalline RbTe2CN at its relaxed geometry.

abc: 4.655 4.655 6.302
angles: 90.00 90.00 90.00
Space group P4/mmm (No. 123)
Unique sites:
Rb 0.000 0.000 0.000 [1 per cell]
Te 0.000 0.500 0.500 [2 per cell]
C 0.500 0.500 0.500 [1 per cell]
N 0.500 0.500 0.000 [1 per cell]

Calculated values
- total magnetic moment (μB per cell) = 2.490
- formation energy without anion corrections (eV per atom) = 1.49
- electronic total energy (eV per atom) = -3.47

***

# 8
The following is a DFT calculation (PBE) of crystalline Ti2Mn2Si at its relaxed geometry.

abc: 3.063 3.063 15.592
angles: 90.00 90.00 90.00
Space group I4/mmm (No. 139)
Unique sites:
Ti 0.000 0.000 0.107 [4 per cell]
Mn 0.000 0.500 0.250 [4 per cell]
Si 0.000 0.000 0.500 [2 per cell]

Calculated values
- total magnetic moment (μB per cell) = 0.000
- formation energy without anion corrections (eV per atom) = 0.05
- electronic total energy (eV per atom) = -7.86